Density functional theory data (PBE) for LiZrBe after structural relaxation.

Cell: 3.1468 3.1468 9.9644 Å, 90.00 90.00 90.00°
Fractional positions:
Be: 0.5000 0.5000 0.7233
Be: 0.5000 0.5000 0.0375
Li: 0.0000 0.0000 0.5801
Li: 0.5000 0.5000 0.4113
Zr: 0.0000 0.0000 0.8701
Zr: 0.0000 0.0000 0.1914

Calculated values
The calculation puts the excess energy over the best structure of this formula in the dataset at 47 meV per atom. The total energy comes out at -4.647 eV/atom. The symmetry is P4mm, No. 99.

Density functional theory data (PBE) for SrLiCd2Pt2 after structural relaxation.

Cell: 4.6560 4.6560 7.9502 Å, 107.03 107.03 90.00°
Fractional positions:
Cd: 0.7500 0.2500 0.5000
Cd: 0.2500 0.7500 0.5000
Pt: 0.8463 0.8463 0.6925
Pt: 0.1537 0.1537 0.3075
Sr: 0.5000 0.5000 0.0000
Li: 0.0000 0.0000 0.0000

Calculated values
The total energy comes out at -3.073 eV/atom. The symmetry is I4/mmm, No. 139.

Density functional theory data (PBE) for CdCu2Ag2 after structural relaxation.

Cell: 7.0828 7.0828 3.1919 Å, 90.00 90.00 90.00°
Fractional positions:
Ag: 0.3290 0.1710 0.5000
Ag: 0.6710 0.8290 0.5000
Ag: 0.1710 0.6710 0.5000
Ag: 0.8290 0.3290 0.5000
Cu: 0.1241 0.3759 0.0000
Cu: 0.8759 0.6241 0.0000
Cu: 0.3759 0.8759 0.0000
Cu: 0.6241 0.1241 0.0000
Cd: 0.5000 0.5000 0.0000
Cd: 0.0000 0.0000 0.0000

Calculated values
The calculation puts the excess energy over the best structure of this formula in the dataset at 0 meV per atom. The total energy comes out at -2.847 eV/atom. The symmetry is P4/mbm, No. 127.

Density functional theory data (PBE) for TbLuHgOs after structural relaxation.

Cell: 4.9774 4.9774 4.9774 Å, 60.00 60.00 60.00°
Fractional positions:
Lu: 0.5000 0.5000 0.5000
Hg: 0.2500 0.2500 0.2500
Tb: 0.0000 0.0000 0.0000
Os: 0.7500 0.7500 0.7500

Calculated values
The total energy comes out at -5.449 eV/atom. The symmetry is F-43m, No. 216.

Density functional theory data (PBE) for KCaSb2 after structural relaxation.

Cell: 5.9454 5.9454 3.5580 Å, 90.03 90.03 106.03°
Fractional positions:
K: 0.0000 0.5000 0.5000
Ca: 0.5000 0.0000 0.5000
Sb: 0.5000 0.5000 0.0000
Sb: 0.0000 0.0000 0.0000

Calculated values
The calculation puts the excess energy over the best structure of this formula in the dataset at 127 meV per atom. The energy relative to the elements, uncorrected comes out at -0.51 eV/atom. The total energy comes out at -3.350 eV/atom. The symmetry is Cmmm, No. 65.

Density functional theory data (PBE) for NaURh4Se8 after structural relaxation.

Cell: 7.7742 7.7742 7.5247 Å, 58.90 58.90 60.00°
Each line ends with the local moment (μB).
Fractional positions:
Se: 0.7954 0.2458 0.7130  -0.01
Se: 0.2458 0.2458 0.7130  -0.01
Se: 0.7383 0.7383 0.2862  0.01
Se: 0.2325 0.2325 0.3024  0.06
Se: 0.7383 0.2371 0.2862  0.01
Se: 0.7638 0.7638 0.7086  0.03
Se: 0.2371 0.7383 0.2862  0.01
Se: 0.2458 0.7954 0.7130  -0.01
Na: 0.3782 0.3782 0.8653  0.00
Rh: 0.0020 0.5014 0.4945  0.05
Rh: 0.5014 0.0020 0.4945  0.05
Rh: 0.6267 0.6267 0.1199  0.56
Rh: 0.0020 0.0020 0.4945  0.05
U: 0.9925 0.9925 0.0225  0.94

Calculated values
The energy relative to the elements, uncorrected comes out at -0.55 eV/atom. The total energy comes out at -5.539 eV/atom. The symmetry is R3m, No. 160.

Density functional theory data (PBE) for NpTlGa2Cl6 after structural relaxation.

Cell: 7.0368 8.5020 7.7693 Å, 123.17 112.58 90.00°
Each line ends with the local moment (μB).
Fractional positions:
Cl: 0.8301 0.8067 0.1840  -0.01
Cl: 0.1699 0.1933 0.8160  -0.01
Cl: 0.8301 0.3773 0.1840  -0.01
Cl: 0.1699 0.6227 0.8160  -0.01
Cl: 0.6365 0.2921 0.5842  -0.02
Cl: 0.3635 0.7079 0.4158  -0.02
Ga: 0.1980 0.2520 0.5040  0.00
Ga: 0.8020 0.7480 0.4960  0.00
Tl: 0.5000 0.0000 0.0000  0.00
Np: 0.0000 0.5000 0.0000  3.94

Calculated values
The energy relative to the elements, uncorrected comes out at -1.15 eV/atom. The total energy comes out at -4.396 eV/atom. The symmetry is C2/m, No. 12.

Density functional theory data (PBE) for SrIrS2 after structural relaxation.

Cell: 5.7325 5.7325 7.4292 Å, 67.31 67.31 90.00°
Fractional positions:
Sr: 0.5000 0.5000 0.0000
Sr: 0.2500 0.7500 0.5000
S: 0.7136 0.1250 0.2500
S: 0.0364 0.6250 0.2500
S: 0.8750 0.9636 0.7500
S: 0.3750 0.2864 0.7500
Ir: 0.7500 0.2500 0.5000
Ir: 0.0000 0.0000 0.0000

Calculated values
The calculation puts the excess energy over the best structure of this formula in the dataset at 0 meV per atom. The energy relative to the elements, uncorrected comes out at -0.73 eV/atom. The total energy comes out at -5.426 eV/atom. The symmetry is I-42d, No. 122.

Density functional theory data (PBE) for TbThMgTi after structural relaxation.

Cell: 5.2964 5.2964 5.2964 Å, 60.00 60.00 60.00°
Each line ends with the local moment (μB).
Fractional positions:
Ti: 0.2500 0.2500 0.2500  1.22
Mg: 0.7500 0.7500 0.7500  -0.02
Th: 0.5000 0.5000 0.5000  0.17
Tb: 0.0000 0.0000 0.0000  0.16

Calculated values
The total energy comes out at -5.233 eV/atom. The symmetry is F-43m, No. 216.

Density functional theory data (PBE) for PrTh2P after structural relaxation.

Cell: 3.8763 3.8763 9.8529 Å, 78.74 78.74 59.96°
Fractional positions:
P: 0.6666 0.6666 0.9996
Pr: 0.5012 0.5012 0.4985
Th: 0.2721 0.2721 0.1847
Th: 0.0601 0.0601 0.8172

Calculated values
The calculation puts the excess energy over the best structure of this formula in the dataset at 0 meV per atom. The total energy comes out at -6.832 eV/atom. The symmetry is Cm, No. 8.

Density functional theory data (PBE) for La2MnWBr after structural relaxation.

Cell: 5.6688 4.6331 5.6688 Å, 90.00 90.00 90.00°
Each line ends with the local moment (μB).
Fractional positions:
La: 0.0000 0.0000 0.5000  -0.10
La: 0.5000 0.0000 0.0000  -0.10
Mn: 0.5000 0.5000 0.5000  4.18
W: 0.0000 0.5000 0.0000  0.15
Br: 0.0000 0.0000 0.0000  -0.01

Calculated values
The energy relative to the elements, uncorrected comes out at 0.80 eV/atom. The total energy comes out at -5.932 eV/atom. The symmetry is P4/mmm, No. 123.

Density functional theory data (PBE) for Na3HgTe2 after structural relaxation.

Cell: 7.5270 7.6438 9.0814 Å, 114.89 114.48 90.00°
Each line ends with the local moment (μB).
Fractional positions:
Hg: 0.0000 0.0000 0.0000  0.12
Hg: 0.0000 0.5000 0.0000  0.12
Te: 0.8457 0.1387 0.2774  0.13
Te: 0.5684 0.3613 0.7226  0.13
Te: 0.1543 0.8613 0.7226  0.13
Te: 0.4316 0.6387 0.2774  0.13
Na: 0.5000 0.2500 0.0000  0.00
Na: 0.2241 0.9741 0.4482  0.01
Na: 0.5000 0.7500 0.0000  0.00
Na: 0.7759 0.5259 0.5518  0.01
Na: 0.2241 0.4741 0.4482  0.01
Na: 0.7759 0.0259 0.5518  0.01

Calculated values
The energy relative to the elements, uncorrected comes out at -0.61 eV/atom. The total energy comes out at -2.364 eV/atom. The symmetry is Ibam, No. 72.

Density functional theory data (PBE) for Pr12Co6Hg after structural relaxation.

Cell: 8.7244 8.7244 8.7244 Å, 109.47 109.47 109.47°
Fractional positions:
Pr: 0.5006 0.8067 0.6939
Pr: 0.1933 0.3061 0.4994
Pr: 0.1129 0.8067 0.3061
Pr: 0.6939 0.8871 0.1933
Pr: 0.6939 0.5006 0.8067
Pr: 0.8067 0.6939 0.5006
Pr: 0.3061 0.4994 0.1933
Pr: 0.3061 0.1129 0.8067
Pr: 0.1933 0.6939 0.8871
Pr: 0.4994 0.1933 0.3061
Pr: 0.8871 0.1933 0.6939
Pr: 0.8067 0.3061 0.1129
Co: 0.5000 0.8892 0.3892
Co: 0.8892 0.3892 0.5000
Co: 0.5000 0.1108 0.6108
Co: 0.6108 0.5000 0.1108
Co: 0.3892 0.5000 0.8892
Co: 0.1108 0.6108 0.5000
Hg: 0.0000 0.0000 0.0000

Calculated values
The total energy comes out at -5.389 eV/atom. The symmetry is Im-3, No. 204.

Density functional theory data (PBE) for Ac3Th after structural relaxation.

Cell: 7.7835 7.7835 6.3467 Å, 90.00 90.00 120.00°
Fractional positions:
Ac: 0.1714 0.8286 0.2500
Ac: 0.1714 0.3427 0.2500
Ac: 0.6573 0.8286 0.2500
Ac: 0.3427 0.1714 0.7500
Ac: 0.8286 0.6573 0.7500
Ac: 0.8286 0.1714 0.7500
Th: 0.3333 0.6667 0.7500
Th: 0.6667 0.3333 0.2500

Calculated values
The calculation puts the excess energy over the best structure of this formula in the dataset at 10 meV per atom. The total energy comes out at -4.789 eV/atom. The symmetry is P6_3/mmc, No. 194.

Density functional theory data (PBE) for HfPaTe6 after structural relaxation.

Cell: 5.5895 7.5735 9.2026 Å, 63.29 55.00 57.61°
Fractional positions:
Te: 0.3709 0.8753 0.2281
Te: 0.6291 0.1247 0.7719
Te: 0.9135 0.4733 0.7857
Te: 0.6213 0.2212 0.3110
Te: 0.3787 0.7788 0.6890
Te: 0.0865 0.5267 0.2143
Hf: 0.5000 0.5000 0.5000
Pa: 0.0000 0.0000 0.0000

Calculated values
The energy relative to the elements, uncorrected comes out at -0.45 eV/atom. The total energy comes out at -5.239 eV/atom. The symmetry is P-1, No. 2.

Density functional theory data (PBE) for K2CuTeO7 after structural relaxation.

Cell: 5.7020 5.7020 12.1831 Å, 81.21 81.21 69.82°
Each line ends with the local moment (μB).
Fractional positions:
O: 0.3613 0.3551 0.4909  0.40
O: 0.3535 0.6465 0.2500  1.29
O: 0.7974 0.0121 0.8924  0.14
O: 0.2653 0.0118 0.8939  0.06
O: 0.2026 0.9879 0.1076  0.14
O: 0.0121 0.7974 0.3924  0.14
O: 0.6387 0.6449 0.5091  0.40
O: 0.6465 0.3535 0.7500  1.29
O: 0.9879 0.2026 0.6076  0.14
O: 0.9882 0.7347 0.6061  0.06
O: 0.7347 0.9882 0.1061  0.06
O: 0.3551 0.3613 0.9909  0.40
O: 0.0118 0.2653 0.3939  0.06
O: 0.6449 0.6387 0.0091  0.40
K: 0.5245 0.0194 0.3250  0.00
K: 0.4755 0.9806 0.6750  0.00
K: 0.9806 0.4755 0.1750  0.00
K: 0.0194 0.5245 0.8250  0.00
Cu: 0.0000 0.0000 0.5000  0.02
Cu: 0.0000 0.0000 0.0000  0.02
Te: 0.0000 0.5000 0.5000  -0.02
Te: 0.5000 0.0000 0.0000  -0.02

Calculated values
The energy relative to the elements, uncorrected comes out at -0.69 eV/atom. The total energy comes out at -4.702 eV/atom. The symmetry is C2/c, No. 15.

Density functional theory data (PBE) for Mg4Zr after structural relaxation.

Cell: 5.9917 5.9917 5.9917 Å, 109.47 109.47 109.47°
Each line ends with the local moment (μB).
Fractional positions:
Mg: 0.5000 0.0000 0.0000  0.02
Mg: 0.0000 0.5000 0.0000  0.02
Mg: 0.0000 0.0000 0.5000  0.02
Mg: 0.5000 0.5000 0.5000  0.02
Zr: 0.0000 0.0000 0.0000  1.23

Calculated values
The calculation puts the excess energy over the best structure of this formula in the dataset at 725 meV per atom. The total energy comes out at -2.258 eV/atom. The symmetry is Im-3m, No. 229.

Density functional theory data (PBE) for Al4ZnAg8 after structural relaxation.

Cell: 4.1121 12.9277 4.9899 Å, 64.67 65.67 80.85°
Fractional positions:
Ag: 0.7534 0.2928 0.2003
Ag: 0.0627 0.3677 0.5069
Ag: 0.8234 0.0528 0.3004
Ag: 0.1988 0.9061 0.6964
Ag: 0.5767 0.7532 0.0933
Ag: 0.4457 0.2056 0.9031
Ag: 0.9597 0.5911 0.4894
Ag: 0.2690 0.6660 0.7960
Zn: 0.5110 0.9793 0.9986
Al: 0.1321 0.1351 0.6006
Al: 0.6609 0.5216 0.1567
Al: 0.8901 0.8237 0.3960
Al: 0.3616 0.4373 0.8396

Calculated values
The total energy comes out at -3.044 eV/atom. The symmetry is C2/m, No. 12.

Density functional theory data (PBE) for Pr3NpSe4 after structural relaxation.

Cell: 7.3273 7.3275 8.4417 Å, 90.00 90.00 109.40°
Each line ends with the local moment (μB).
Fractional positions:
Se: 0.0009 0.2411 0.1208  -0.03
Se: 0.9991 0.7589 0.8792  -0.03
Se: 0.9953 0.2463 0.6290  -0.01
Se: 0.0047 0.7537 0.3710  -0.01
Se: 0.4953 0.2463 0.3710  -0.01
Se: 0.5047 0.7537 0.6290  -0.01
Se: 0.4991 0.7589 0.1208  -0.03
Se: 0.5009 0.2411 0.8792  -0.03
Pr: 0.2500 0.5000 0.8754  0.04
Pr: 0.2500 0.0000 0.6257  0.05
Pr: 0.2500 0.5000 0.3742  0.03
Pr: 0.7500 0.5000 0.6258  0.03
Pr: 0.7500 0.5000 0.1246  0.04
Pr: 0.7500 0.0000 0.3743  0.05
Np: 0.7500 0.0000 0.8771  4.14
Np: 0.2500 0.0000 0.1229  4.14

Calculated values
The energy relative to the elements, uncorrected comes out at -1.65 eV/atom. The total energy comes out at -6.802 eV/atom. The symmetry is P2/c, No. 13.

Density functional theory data (PBE) for Cs2NaS2 after structural relaxation.

Cell: 8.1776 8.1776 5.1947 Å, 90.00 90.00 90.00°
Each line ends with the local moment (μB).
Fractional positions:
Cs: 0.1564 0.6564 0.5000  0.01
Cs: 0.6564 0.8436 0.5000  0.01
Cs: 0.8436 0.3436 0.5000  0.01
Cs: 0.3436 0.1564 0.5000  0.01
Na: 0.0000 0.0000 0.0000  0.00
Na: 0.5000 0.5000 0.0000  0.00
S: 0.1451 0.3549 0.0000  0.29
S: 0.6451 0.1451 0.0000  0.29
S: 0.8549 0.6451 0.0000  0.29
S: 0.3549 0.8549 0.0000  0.29

Calculated values
The energy relative to the elements, uncorrected comes out at -0.69 eV/atom. The total energy comes out at -2.951 eV/atom. The symmetry is P4/mbm, No. 127.